Record 1
First-principles (GGA-PBE) data for a relaxed structure of TbSm3Ga4, as listed in Alexandria via LeMat-Bulk.

The structure belongs to space group P4/mmm (No. 123); the cell edges are 3.634, 3.634 and 14.545 Å and the angles 90.00°, 90.00° and 90.00°. The inequivalent atoms are Tb at (0.000, 0.000, 0.000), Sm at (0.000, 0.000, 0.247), Sm at (0.000, 0.000, 0.500), Ga at (0.500, 0.500, 0.120) and Ga at (0.500, 0.500, 0.374).

The excess energy over the best structure of this formula in the dataset comes out at 0.0000 eV per atom. Its density of states at the Fermi level is 3.7 states/eV per cell. The calculation puts the mass density at 7684 kg/m3. The calculation puts the electronic total energy at -35.5 eV per cell.



Record 2
First-principles (GGA-PBE) data for a relaxed structure of Tl2NiCl, as listed in Alexandria via LeMat-Bulk.

The structure belongs to space group C2/m (No. 12); the cell edges are 7.484, 7.435 and 3.243 Å and the angles 90.00°, 90.68° and 90.00°. The inequivalent atoms are Tl at (0.250, 0.250, 0.000), Ni at (0.000, 0.000, 0.500) and Cl at (0.000, 0.500, 0.500).

As for the formation energy without anion corrections: 0.003 eV per atom. The excess energy over the best structure of this formula in the dataset comes out at 0.1283 eV per atom. Its density of states at the Fermi level is 3.1 states/eV per cell. The calculation puts the mass density at 9256 kg/m3. The calculation puts the electronic total energy at -24.7 eV per cell.



Record 3
First-principles (GGA-PBE) data for a relaxed structure of NpSc2Cr2C4, as listed in Alexandria via LeMat-Bulk.

The structure belongs to space group C2/m (No. 12); the cell edges are 12.662, 3.119 and 5.721 Å and the angles 90.00°, 111.35° and 90.00°. The inequivalent atoms are Np at (0.000, 0.000, 0.000), Sc at (0.146, 0.000, 0.543), Cr at (0.172, 0.500, 0.976), C at (0.015, 0.500, 0.635) and C at (0.222, 0.000, 0.220).

Its density of states at the Fermi level is 16.1 states/eV per cell. The calculation puts the mass density at 7559 kg/m3. The calculation puts the electronic total energy at -166.2 eV per cell.